First-principles (PBE-GGA) data for a relaxed structure of BaTa2Au, as listed in the Alexandria database.

Cell: 3.4507 3.4720 8.2434 Å, 90.00 90.00 90.00°
With the nearest neighbours (Å) after each atom.
Atoms (fractional coordinates):
Ba 0.0000 0.0000 0.0000  4 Ba 3.45-3.47, 4 Au 3.47, 4 Ta 3.74
Ta 0.0000 0.0000 0.4987  4 Ta 2.77, 4 Au 2.95
Ta 0.5000 0.5000 0.6566  4 Ta 2.77, 1 Au 2.95
Au 0.5000 0.5000 0.2984  5 Ta 2.95

Properties
ΔE_f = 301 meV/atom
spin magnetization = 0.0 μB per formula unit
distance to the lowest polymorph of the same formula = 0 meV/atom